The following is a DFT calculation (GGA-PBE) of an optimized crystal structure of Tb3Ho3Th4.

Crystal system ... orthorhombic
Theoretical density ... 9.55 g/cm3
Final energy ... -5.50 eV per atom
Energy relative to the elements ... 228.4 meV per atom

a b c (Å): 3.894 13.042 13.015
angles (deg): 90.00 90.00 90.00
Space group Amm2 (No. 38)
One atom of each set of equivalent atoms:
Tb1 0.000 0.000 0.000 (multiplicity 2)
Tb2 0.500 0.249 0.413 (multiplicity 4)
Ho1 0.000 0.000 0.326 (multiplicity 2)
Ho2 0.000 0.163 0.664 (multiplicity 4)
Th1 0.500 0.000 0.531 (multiplicity 2)
Th2 0.500 0.000 0.796 (multiplicity 2)
Th3 0.500 0.133 0.163 (multiplicity 4)